# Sm2BiSb (GGA-PBE, relaxed)
data_Sm2BiSb
_chemical_formula_sum 'Sm6 Bi3 Sb3'
_cell_length_a 4.5136
_cell_length_b 4.5136
_cell_length_c 22.1158
_cell_angle_alpha 90.00
_cell_angle_beta 90.00
_cell_angle_gamma 120.00
_symmetry_space_group_name_H-M 'R -3 m'
_symmetry_Int_Tables_number 166
_symmetry_space_group_name_Hall '-R 3 2"'
loop_
_atom_site_label
_atom_site_type_symbol
_atom_site_fract_x
_atom_site_fract_y
_atom_site_fract_z
_atom_site_occupancy
Sm1 Sm 0.0000 0.0000 0.2480 1
Bi1 Bi 0.0000 0.0000 0.0000 1
Sb1 Sb 0.0000 0.0000 0.5000 1
# D(E_F) (states/eV/f.u.): 0.703
# Distance to the lowest polymorph of the same formula (meV per atom): 1
# M_tot (μB per formula unit): 0.00
# Raw formation energy (eV/atom): -1.051

***

# Sm5BiSb4 (GGA-PBE, relaxed)
data_Sm5BiSb4
_chemical_formula_sum 'Sm10 Bi2 Sb8'
_cell_length_a 4.490
_cell_length_b 6.343
_cell_length_c 22.435
_cell_angle_alpha 90.00
_cell_angle_beta 90.00
_cell_angle_gamma 90.00
_symmetry_space_group_name_H-M 'I m m m'
_symmetry_Int_Tables_number 71
_symmetry_space_group_name_Hall '-I 2 2'
loop_
_atom_site_label
_atom_site_type_symbol
_atom_site_fract_x
_atom_site_fract_y
_atom_site_fract_z
_atom_site_occupancy
Sm1 Sm 0.000 0.000 0.000 1
Sm2 Sm 0.000 0.000 0.200 1
Sm3 Sm 0.000 0.000 0.397 1
Bi1 Bi 0.000 0.500 0.000 1
Sb1 Sb 0.000 0.500 0.201 1
Sb2 Sb 0.000 0.500 0.400 1
# D(E_F) (states/eV/f.u.): 1.947
# M_tot (μB per formula unit): 0.00
# Raw formation energy (eV/atom): -1.127

***

# SmBiSb2 (GGA-PBE, relaxed)
data_SmBiSb2
_chemical_formula_sum 'Sm3 Bi3 Sb6'
_cell_length_a 3.4987
_cell_length_b 3.4987
_cell_length_c 34.6438
_cell_angle_alpha 90.00
_cell_angle_beta 90.00
_cell_angle_gamma 120.00
_symmetry_space_group_name_H-M 'R -3 m'
_symmetry_Int_Tables_number 166
_symmetry_space_group_name_Hall '-R 3 2"'
loop_
_atom_site_label
_atom_site_type_symbol
_atom_site_fract_x
_atom_site_fract_y
_atom_site_fract_z
_atom_site_occupancy
Sm1 Sm 0.0000 0.0000 0.0000 1
Bi1 Bi 0.0000 0.0000 0.5000 1
Sb1 Sb 0.0000 0.0000 0.4076 1
# D(E_F) (states/eV/f.u.): 3.340
# Distance to the lowest polymorph of the same formula (meV per atom): 259
# M_tot (μB per formula unit): 0.00
# Raw formation energy (eV/atom): -0.203

***

# Sm6BiSb2 (GGA-PBE, relaxed)
data_Sm6BiSb2
_chemical_formula_sum 'Sm12 Bi2 Sb4'
_cell_length_a 6.469
_cell_length_b 8.515
_cell_length_c 12.212
_cell_angle_alpha 90.00
_cell_angle_beta 120.87
_cell_angle_gamma 90.00
_symmetry_space_group_name_H-M 'P 1 21/c 1'
_symmetry_Int_Tables_number 14
_symmetry_space_group_name_Hall '-P 2ybc'
loop_
_atom_site_label
_atom_site_type_symbol
_atom_site_fract_x
_atom_site_fract_y
_atom_site_fract_z
_atom_site_occupancy
Sm1 Sm 0.051 0.192 0.442 1
Sm2 Sm 0.309 0.657 0.443 1
Sm3 Sm 0.352 0.035 0.218 1
Bi1 Bi 0.500 0.000 0.500 1
Sb1 Sb 0.158 0.120 0.745 1
# D(E_F) (states/eV/f.u.): 11.159
# M_tot (μB per formula unit): 0.00
# Raw formation energy (eV/atom): -0.609

***

# Sm5Bi4Sb (GGA-PBE, relaxed)
data_Sm5Bi4Sb
_chemical_formula_sum 'Sm10 Bi8 Sb2'
_cell_length_a 10.154
_cell_length_b 10.154
_cell_length_c 6.421
_cell_angle_alpha 90.00
_cell_angle_beta 90.00
_cell_angle_gamma 90.00
_symmetry_space_group_name_H-M 'I 4/m'
_symmetry_Int_Tables_number 87
_symmetry_space_group_name_Hall '-I 4'
loop_
_atom_site_label
_atom_site_type_symbol
_atom_site_fract_x
_atom_site_fract_y
_atom_site_fract_z
_atom_site_occupancy
Sm1 Sm 0.000 0.000 0.000 1
Sm2 Sm 0.099 0.296 0.500 1
Bi1 Bi 0.099 0.301 0.000 1
Sb1 Sb 0.000 0.000 0.500 1
# D(E_F) (states/eV/f.u.): 1.635
# M_tot (μB per formula unit): 0.00
# Raw formation energy (eV/atom): -0.975

***

# Sm8Bi2Sb (GGA-PBE, relaxed)
data_Sm8Bi2Sb
_chemical_formula_sum 'Sm16 Bi4 Sb2'
_cell_length_a 18.820
_cell_length_b 4.849
_cell_length_c 7.818
_cell_angle_alpha 90.00
_cell_angle_beta 91.46
_cell_angle_gamma 90.00
_symmetry_space_group_name_H-M 'C 1 2/m 1'
_symmetry_Int_Tables_number 12
_symmetry_space_group_name_Hall '-C 2y'
loop_
_atom_site_label
_atom_site_type_symbol
_atom_site_fract_x
_atom_site_fract_y
_atom_site_fract_z
_atom_site_occupancy
Sm1 Sm 0.008 0.000 0.253 1
Sm2 Sm 0.097 0.500 0.522 1
Sm3 Sm 0.163 0.500 0.054 1
Sm4 Sm 0.217 0.000 0.364 1
Bi1 Bi 0.172 0.000 0.781 1
Sb1 Sb 0.000 0.500 0.000 1
# D(E_F) (states/eV/f.u.): 13.180
# M_tot (μB per formula unit): 0.00
# Raw formation energy (eV/atom): -0.457

***

# Sm6BiSb5 (GGA-PBE, relaxed)
data_Sm6BiSb5
_chemical_formula_sum 'Sm12 Bi2 Sb10'
_cell_length_a 7.770
_cell_length_b 13.457
_cell_length_c 7.769
_cell_angle_alpha 90.00
_cell_angle_beta 109.49
_cell_angle_gamma 90.00
_symmetry_space_group_name_H-M 'C 1 2/m 1'
_symmetry_Int_Tables_number 12
_symmetry_space_group_name_Hall '-C 2y'
loop_
_atom_site_label
_atom_site_type_symbol
_atom_site_fract_x
_atom_site_fract_y
_atom_site_fract_z
_atom_site_occupancy
Sm1 Sm 0.247 0.000 0.251 1
Sm2 Sm 0.247 0.168 0.748 1
Bi1 Bi 0.000 0.500 0.000 1
Sb1 Sb 0.000 0.000 0.500 1
Sb2 Sb 0.000 0.167 0.000 1
Sb3 Sb 0.000 0.335 0.500 1
# D(E_F) (states/eV/f.u.): 1.905
# M_tot (μB per formula unit): 0.00
# Raw formation energy (eV/atom): -1.135

***

# Sm6BiSb4 (GGA-PBE, relaxed)
data_Sm6BiSb4
_chemical_formula_sum 'Sm24 Bi4 Sb16'
_cell_length_a 4.468
_cell_length_b 14.646
_cell_length_c 22.083
_cell_angle_alpha 90.00
_cell_angle_beta 90.00
_cell_angle_gamma 90.00
_symmetry_space_group_name_H-M 'C m c m'
_symmetry_Int_Tables_number 63
_symmetry_space_group_name_Hall '-C 2c 2'
loop_
_atom_site_label
_atom_site_type_symbol
_atom_site_fract_x
_atom_site_fract_y
_atom_site_fract_z
_atom_site_occupancy
Sm1 Sm 0.000 0.000 0.000 1
Sm2 Sm 0.000 0.184 0.250 1
Sm3 Sm 0.000 0.272 0.585 1
Sm4 Sm 0.000 0.456 0.165 1
Bi1 Bi 0.000 0.161 0.750 1
Sb1 Sb 0.000 0.091 0.128 1
Sb2 Sb 0.000 0.363 0.042 1
# D(E_F) (states/eV/f.u.): 5.300
# M_tot (μB per formula unit): 0.47
# Raw formation energy (eV/atom): -0.993

***

# Sm4Bi2Sb (GGA-PBE, relaxed)
data_Sm4Bi2Sb
_chemical_formula_sum 'Sm16 Bi8 Sb4'
_cell_length_a 9.497
_cell_length_b 9.497
_cell_length_c 9.559
_cell_angle_alpha 90.00
_cell_angle_beta 90.00
_cell_angle_gamma 90.00
_symmetry_space_group_name_H-M 'I -4 2 d'
_symmetry_Int_Tables_number 122
_symmetry_space_group_name_Hall 'I -4 2bw'
loop_
_atom_site_label
_atom_site_type_symbol
_atom_site_fract_x
_atom_site_fract_y
_atom_site_fract_z
_atom_site_occupancy
Sm1 Sm 0.071 0.182 0.299 1
Bi1 Bi 0.121 0.250 0.625 1
Sb1 Sb 0.000 0.000 0.000 1
# D(E_F) (states/eV/f.u.): 7.637
# Distance to the lowest polymorph of the same formula (meV per atom): 0
# M_tot (μB per formula unit): 0.00
# Raw formation energy (eV/atom): -0.885

***

# Sm6Bi2Sb (GGA-PBE, relaxed)
data_Sm6Bi2Sb
_chemical_formula_sum 'Sm12 Bi4 Sb2'
_cell_length_a 6.517
_cell_length_b 8.562
_cell_length_c 12.307
_cell_angle_alpha 90.00
_cell_angle_beta 121.01
_cell_angle_gamma 90.00
_symmetry_space_group_name_H-M 'P 1 21/c 1'
_symmetry_Int_Tables_number 14
_symmetry_space_group_name_Hall '-P 2ybc'
loop_
_atom_site_label
_atom_site_type_symbol
_atom_site_fract_x
_atom_site_fract_y
_atom_site_fract_z
_atom_site_occupancy
Sm1 Sm 0.064 0.191 0.449 1
Sm2 Sm 0.317 0.664 0.448 1
Sm3 Sm 0.353 0.033 0.223 1
Bi1 Bi 0.157 0.118 0.747 1
Sb1 Sb 0.500 0.000 0.500 1
# D(E_F) (states/eV/f.u.): 11.455
# M_tot (μB per formula unit): 0.01
# Raw formation energy (eV/atom): -0.579

***

Q: M_tot of number 3 (SmBiSb2)?
A: 0.00 μB per formula unit

***

Q: Look up the raw formation energy of the first one.
A: -1.051 eV/atom